CaCr2BO8: optimized geometry, PBE+U.

Results
V in Å³/atom: 11.3
Crystal system: trigonal
E in eV for the cell shown: -79.5
Magnetic moment in Bohr magnetons per cell: 1.00

The structure in POSCAR format:
```
CaCr2BO8
1.0
2.3424 1.3524 7.1236
-2.3424 1.3524 7.1236
0.0000 -2.7047 7.1236
Ca Cr B O
1 2 1 8
direct
0.0000 0.0000 0.0000
0.2367 0.2367 0.2367
0.7633 0.7633 0.7633
0.5000 0.5000 0.5000
0.1550 0.4643 0.7388
0.2612 0.8450 0.5357
0.3160 0.3160 0.3160
0.4643 0.7388 0.1550
0.5357 0.2612 0.8450
0.6840 0.6840 0.6840
0.7388 0.1550 0.4643
0.8450 0.5357 0.2612
```